# 1
DFT (PBE) results for a geometry-optimized ScIrOs2 structure.

The energy above the most stable polymorph in this dataset is 82 meV per atom. As for the energy of formation: -0.096 eV per atom. The calculation puts the total energy at -9.51 eV/atom. As for the space group: Cmmm (65).

a b c (Å): 4.8359 4.8359 2.7854
angles (deg): 90.00 90.00 110.18
With the nearest neighbours (Å) after each atom.
Element x y z (fractional)
Sc  0.0000  0.0000  0.0000  2 Ir 2.77, 2 Sc 2.79, 8 Os 2.79
Ir  0.5000  0.5000  0.0000  2 Sc 2.77, 2 Ir 2.79, 8 Os 2.79
Os  0.0000  0.5000  0.5000  4 Os 2.77-2.79, 4 Ir 2.79, 4 Sc 2.79
Os  0.5000  0.0000  0.5000  4 Os 2.77-2.79, 4 Ir 2.79, 4 Sc 2.79

---

# 2
DFT (PBE) results for a geometry-optimized LaTb8Sc4 structure.

As for the energy of formation: 0.223 eV per atom. The calculation puts the total energy at -4.95 eV/atom. As for the space group: R-3m (166).

a b c (Å): 9.7643 9.7643 9.7643
angles (deg): 42.95 42.95 42.95
With the nearest neighbours (Å) after each atom.
Element x y z (fractional)
La  0.0000  0.0000  0.0000  6 Tb 2.91
Tb  0.2516  0.2516  0.7041  1 La 2.91, 1 Sc 3.19, 2 Tb 3.23
Tb  0.2516  0.7041  0.2516  1 La 2.91, 1 Sc 3.19, 2 Tb 3.23
Tb  0.2794  0.2794  0.2794  9 Tb 3.60-3.76, 3 Sc 3.64
Tb  0.2959  0.7484  0.7484  1 La 2.91, 1 Sc 3.19, 2 Tb 3.23
Tb  0.7041  0.2516  0.2516  1 La 2.91, 1 Sc 3.19, 2 Tb 3.23
Tb  0.7206  0.7206  0.7206  9 Tb 3.60-3.76, 3 Sc 3.64
Tb  0.7484  0.2959  0.7484  1 La 2.91, 1 Sc 3.19, 2 Tb 3.23
Tb  0.7484  0.7484  0.2959  1 La 2.91, 1 Sc 3.19, 2 Tb 3.23
Sc  0.0000  0.0000  0.5000  6 Tb 3.38-3.64, 6 Sc 3.57
Sc  0.0000  0.5000  0.0000  6 Tb 3.38-3.64, 6 Sc 3.57
Sc  0.5000  0.0000  0.0000  6 Tb 3.38-3.64, 6 Sc 3.57
Sc  0.5000  0.5000  0.5000  6 Tb 3.19, 6 Sc 3.57

---

# 3
DFT (PBE) results for a geometry-optimized Pr3Hg2Rh structure.

The energy above the most stable polymorph in this dataset is 0 meV per atom. As for the energy of formation: -0.511 eV per atom. The calculation puts the total energy at -4.23 eV/atom. As for the space group: P-1 (2).

a b c (Å): 5.2693 7.6380 8.3912
angles (deg): 90.04 108.28 90.00
With the nearest neighbours (Å) after each atom.
Element x y z (fractional)
Pr  0.9999  0.2389  0.9998  2 Rh 3.00, 6 Hg 3.20-3.32
Pr  0.0001  0.7611  0.0002  2 Rh 3.00, 6 Hg 3.20-3.32
Pr  0.3271  0.2254  0.6522  3 Rh 3.13-3.29, 5 Hg 3.26-3.47, 1 Pr 3.45
Pr  0.3273  0.7739  0.6526  3 Rh 3.13-3.31, 5 Hg 3.26-3.47, 1 Pr 3.45
Pr  0.6727  0.2261  0.3474  3 Rh 3.13-3.31, 5 Hg 3.26-3.47, 1 Pr 3.45
Pr  0.6729  0.7746  0.3478  3 Rh 3.13-3.29, 5 Hg 3.26-3.47, 1 Pr 3.45
Hg  0.1642  0.5000  0.3331  8 Pr 3.29-3.38
Hg  0.5000  0.0000  0.0000  8 Pr 3.20-3.26, 2 Rh 3.51
Hg  0.5000  0.5000  0.0000  8 Pr 3.30-3.47
Hg  0.8358  0.5000  0.6669  8 Pr 3.29-3.38
Rh  0.1380  0.0005  0.2993  8 Pr 3.00-3.31
Rh  0.8620  0.9995  0.7007  8 Pr 3.00-3.31

---

# 4
DFT (PBE) results for a geometry-optimized Mg4GaNi2 structure.

As for the energy of formation: 0.380 eV per atom. The calculation puts the total energy at -2.62 eV/atom. As for the space group: I4/mmm (139).

a b c (Å): 7.1931 7.1931 7.1931
angles (deg): 139.74 139.74 58.25
With the nearest neighbours (Å) after each atom.
Element x y z (fractional)
Mg  0.0000  0.5000  0.5000  2 Ga 2.48, 4 Ni 2.73
Mg  0.2093  0.2093  0.0000  1 Ni 2.50, 1 Ga 2.63
Mg  0.5000  0.0000  0.5000  2 Ga 2.48, 4 Ni 2.73
Mg  0.7907  0.7907  0.0000  1 Ni 2.50, 1 Ga 2.63
Ga  0.0000  0.0000  0.0000  6 Mg 2.48-2.63
Ni  0.4079  0.4079  0.0000  1 Ni 2.32, 1 Mg 2.50
Ni  0.5921  0.5921  0.0000  1 Ni 2.32, 1 Mg 2.50

---

# 5
DFT (PBE) results for a geometry-optimized Ce2GdFe structure.

As for the energy of formation: 0.284 eV per atom. The calculation puts the total energy at -8.32 eV/atom. As for the space group: R-3m (166).

a b c (Å): 6.7452 6.7452 6.7452
angles (deg): 37.42 37.42 37.42
With the nearest neighbours (Å) after each atom.
Element x y z (fractional)
Ce  0.2214  0.2214  0.2214  3 Fe 2.70
Ce  0.7786  0.7786  0.7786  3 Fe 2.70
Gd  0.0000  0.0000  0.0000  6 Ce 3.27
Fe  0.5000  0.5000  0.5000  6 Ce 2.70

---

# 6
DFT (PBE) results for a geometry-optimized NpPa2Tl structure.

The energy above the most stable polymorph in this dataset is 40 meV per atom. As for the energy of formation: 0.322 eV per atom. The calculation puts the total energy at -8.25 eV/atom. As for the space group: P4/mmm (123).

a b c (Å): 3.6800 3.6800 7.2102
angles (deg): 90.00 90.00 90.00
With the nearest neighbours (Å) after each atom.
Element x y z (fractional)
Np  0.0000  0.0000  0.0000  8 Pa 3.02
Pa  0.5000  0.5000  0.2131  4 Np 3.02, 1 Pa 3.07, 4 Tl 3.32
Pa  0.5000  0.5000  0.7869  4 Np 3.02, 1 Pa 3.07, 4 Tl 3.32
Tl  0.0000  0.0000  0.5000  8 Pa 3.32, 2 Np 3.61, 4 Tl 3.68

---

# 7
DFT (PBE) results for a geometry-optimized MgTaTc2 structure.

As for the energy of formation: 0.693 eV per atom. The calculation puts the total energy at -7.85 eV/atom. As for the space group: I-42d (122).

a b c (Å): 5.7595 5.7595 5.7595
angles (deg): 103.50 103.50 122.22
With the nearest neighbours (Å) after each atom.
Element x y z (fractional)
Mg  0.0000  0.0000  0.0000  4 Tc 2.72, 2 Ta 2.78
Mg  0.7500  0.2500  0.5000  4 Tc 2.72, 2 Ta 2.78
Ta  0.2500  0.7500  0.5000  4 Tc 2.52, 2 Mg 2.78
Ta  0.5000  0.5000  0.0000  4 Tc 2.52, 2 Mg 2.78
Tc  0.1456  0.6250  0.0206  2 Ta 2.52, 2 Mg 2.72, 2 Tc 2.80
Tc  0.3750  0.3956  0.5206  2 Ta 2.52, 2 Mg 2.72, 2 Tc 2.80
Tc  0.6044  0.1250  0.9794  2 Ta 2.52, 2 Mg 2.72, 2 Tc 2.80
Tc  0.8750  0.8544  0.4794  2 Ta 2.52, 2 Mg 2.72, 2 Tc 2.80

---

# 8
DFT (PBE) results for a geometry-optimized V2CrHgRh structure.

As for the energy of formation: 1.505 eV per atom. The calculation puts the total energy at -5.60 eV/atom. As for the space group: P4/mmm (123).

a b c (Å): 4.5535 4.5535 5.0540
angles (deg): 90.00 90.00 90.00
With the nearest neighbours (Å) after each atom.
Element x y z (fractional)
V  0.0000  0.5000  0.0000  2 Rh 2.28
V  0.5000  0.0000  0.0000  2 Rh 2.28
Cr  0.0000  0.0000  0.5000  4 Hg 3.22, 8 V 3.40
Hg  0.5000  0.5000  0.5000  2 Rh 2.53
Rh  0.5000  0.5000  0.0000  4 V 2.28, 2 Hg 2.53

---

# 9
DFT (PBE) results for a geometry-optimized Ce2In3Ag2 structure.

As for the energy of formation: -0.234 eV per atom. The calculation puts the total energy at -3.92 eV/atom. As for the space group: Cmcm (63).

a b c (Å): 10.4148 10.4148 7.7021
angles (deg): 90.00 90.00 154.30
With the nearest neighbours (Å) after each atom.
Element x y z (fractional)
Ce  0.0506  0.9494  0.7500  9 In 3.37-3.57
Ce  0.1594  0.8406  0.2500  6 In 3.34, 6 Ag 3.36-3.37
Ce  0.8406  0.1594  0.7500  6 In 3.34, 6 Ag 3.36-3.37
Ce  0.9494  0.0506  0.2500  9 In 3.37-3.57
In  0.2223  0.7777  0.7500  6 Ag 2.83-2.92
In  0.4361  0.5639  0.5663  1 Ag 2.77, 2 In 2.79-2.83
In  0.4361  0.5639  0.9337  1 Ag 2.77, 2 In 2.79-2.83
In  0.5639  0.4361  0.0663  1 Ag 2.77, 2 In 2.79-2.83
In  0.5639  0.4361  0.4337  1 Ag 2.77, 2 In 2.79-2.83
In  0.7777  0.2223  0.2500  6 Ag 2.83-2.92
Ag  0.3076  0.6924  0.0552  4 In 2.77-2.92, 1 Ag 3.00
Ag  0.3076  0.6924  0.4448  4 In 2.77-2.92, 1 Ag 3.00
Ag  0.6924  0.3076  0.5552  4 In 2.77-2.92, 1 Ag 3.00
Ag  0.6924  0.3076  0.9448  4 In 2.77-2.92, 1 Ag 3.00

---

# 10
DFT (PBE) results for a geometry-optimized AcNd6In structure.

As for the energy of formation: -0.101 eV per atom. The calculation puts the total energy at -4.53 eV/atom. As for the space group: P4/mmm (123).

a b c (Å): 5.0973 5.0973 10.4988
angles (deg): 90.00 90.00 90.00
With the nearest neighbours (Å) after each atom.
Element x y z (fractional)
Ac  0.0000  0.0000  0.0000  12 Nd 3.60-3.76
Nd  0.0000  0.5000  0.2635  2 In 3.56, 8 Nd 3.56-3.76, 2 Ac 3.76
Nd  0.0000  0.5000  0.7365  2 In 3.56, 8 Nd 3.56-3.76, 2 Ac 3.76
Nd  0.5000  0.0000  0.2635  2 In 3.56, 8 Nd 3.56-3.76, 2 Ac 3.76
Nd  0.5000  0.0000  0.7365  2 In 3.56, 8 Nd 3.56-3.76, 2 Ac 3.76
Nd  0.5000  0.5000  0.0000  4 Ac 3.60, 8 Nd 3.76
Nd  0.5000  0.5000  0.5000  8 Nd 3.56, 4 In 3.60
In  0.0000  0.0000  0.5000  12 Nd 3.56-3.60

---

# 11
DFT (PBE) results for a geometry-optimized Tm2IrRu3 structure.

As for the energy of formation: -0.486 eV per atom. The calculation puts the total energy at -8.09 eV/atom. As for the space group: C2/m (12).

a b c (Å): 5.2418 5.2418 5.3660
angles (deg): 119.10 119.10 60.01
With the nearest neighbours (Å) after each atom.
Element x y z (fractional)
Tm  0.1234  0.1234  0.3696  3 Ir 3.08, 9 Ru 3.09-3.18, 4 Tm 3.24-3.28
Tm  0.8766  0.8766  0.6304  3 Ir 3.08, 9 Ru 3.09-3.18, 4 Tm 3.24-3.28
Ir  0.5000  0.5000  0.5000  6 Ru 2.68-2.69
Ru  0.0000  0.5000  0.0000  4 Ru 2.62, 2 Ir 2.69
Ru  0.5000  0.0000  0.0000  4 Ru 2.62, 2 Ir 2.69
Ru  0.5000  0.5000  0.0000  4 Ru 2.62, 2 Ir 2.68

---

# 12
DFT (PBE) results for a geometry-optimized SrBe2P structure.

As for the energy of formation: 0.214 eV per atom. The calculation puts the total energy at -3.42 eV/atom. As for the space group: Immm (71).

a b c (Å): 5.0744 5.0744 5.0744
angles (deg): 138.92 106.52 87.81
With the nearest neighbours (Å) after each atom.
Element x y z (fractional)
Sr  0.0000  0.0000  0.0000  8 Be 3.09-3.24
Be  0.3451  0.8451  0.5000  2 P 2.11, 1 Be 2.27
Be  0.6549  0.1549  0.5000  2 P 2.11, 1 Be 2.27
P  0.5000  0.5000  0.0000  4 Be 2.11

---

energy of formation of number 9 (Ce2In3Ag2)?
-0.234 eV per atom

---

The highest total energy belongs to which entry?
Mg4GaNi2

---

What did the first record say?
DFT (PBE) results for a geometry-optimized ScIrOs2 structure.

The energy above the most stable polymorph in this dataset is 82 meV per atom. As for the energy of formation: -0.096 eV per atom. The calculation puts the total energy at -9.51 eV/atom. As for the space group: Cmmm (65).

a b c (Å): 4.8359 4.8359 2.7854
angles (deg): 90.00 90.00 110.18
With the nearest neighbours (Å) after each atom.
Element x y z (fractional)
Sc  0.0000  0.0000  0.0000  2 Ir 2.77, 2 Sc 2.79, 8 Os 2.79
Ir  0.5000  0.5000  0.0000  2 Sc 2.77, 2 Ir 2.79, 8 Os 2.79
Os  0.0000  0.5000  0.5000  4 Os 2.77-2.79, 4 Ir 2.79, 4 Sc 2.79
Os  0.5000  0.0000  0.5000  4 Os 2.77-2.79, 4 Ir 2.79, 4 Sc 2.79